(1)
# BaLiPr2, relaxed, DFT PBE
data_BaLiPr2
_chemical_formula_sum 'Ba1 Li1 Pr2'
_cell_length_a 3.660
_cell_length_b 3.660
_cell_length_c 12.925
_cell_angle_alpha 81.86
_cell_angle_beta 81.86
_cell_angle_gamma 60.00
_space_group_name_H-M_alt 'P 1'
_space_group_IT_number 1
loop_
_space_group_symop_operation_xyz
'x,y,z'
loop_
_atom_site_label
_atom_site_fract_x
_atom_site_fract_y
_atom_site_fract_z
Pr1 0.097 0.097 0.710
Pr2 0.903 0.903 0.290
Ba1 0.000 0.000 0.000
Li1 0.500 0.500 0.500
# Total magnetization = 0.00 Bohr magnetons per cell
# Final energy = -0.1120 Ha/atom
# Energy of formation = 6.9 kcal/mol of atoms
# Density = 4.784 Mg/m³
# Energy above the most stable polymorph in this dataset = 124 meV per atom

(2)
# Ba2LiPr, relaxed, DFT PBE
data_Ba2LiPr
_chemical_formula_sum 'Ba2 Li1 Pr1'
_cell_length_a 3.879
_cell_length_b 3.879
_cell_length_c 13.627
_cell_angle_alpha 81.82
_cell_angle_beta 81.82
_cell_angle_gamma 60.00
_space_group_name_H-M_alt 'P 1'
_space_group_IT_number 1
loop_
_space_group_symop_operation_xyz
'x,y,z'
loop_
_atom_site_label
_atom_site_fract_x
_atom_site_fract_y
_atom_site_fract_z
Pr1 0.000 0.000 0.000
Ba1 0.092 0.092 0.725
Ba2 0.908 0.908 0.275
Li1 0.500 0.500 0.500
# Total magnetization = 0.53 Bohr magnetons per cell
# Final energy = -0.0847 Ha/atom
# Energy of formation = 7.6 kcal/mol of atoms
# Density = 4.006 Mg/m³
# Energy above the most stable polymorph in this dataset = 176 meV per atom

(3)
# Ba2Li2PrS4, relaxed, DFT PBE
data_Ba2Li2PrS4
_chemical_formula_sum 'Ba2 Li2 Pr1 S4'
_cell_length_a 4.129
_cell_length_b 7.440
_cell_length_c 7.880
_cell_angle_alpha 109.30
_cell_angle_beta 105.19
_cell_angle_gamma 90.00
_space_group_name_H-M_alt 'P 1'
_space_group_IT_number 1
loop_
_space_group_symop_operation_xyz
'x,y,z'
loop_
_atom_site_label
_atom_site_fract_x
_atom_site_fract_y
_atom_site_fract_z
Ba1 0.133 0.558 0.266
Ba2 0.867 0.442 0.734
Li1 0.682 0.995 0.364
Li2 0.318 0.005 0.636
Pr1 0.000 0.000 0.000
S1 0.207 0.192 0.413
S2 0.793 0.808 0.587
S3 0.524 0.750 0.049
S4 0.476 0.250 0.951
# ΔE_f (raw) = -1.71 eV per atom
# Total magnetization = 0.22 Bohr magnetons per cell
# Final energy = -0.1812 Ha/atom
# Density = 4.219 Mg/m³

(4)
# Ba3LiPr2S6, relaxed, DFT PBE
data_Ba3LiPr2S6
_chemical_formula_sum 'Ba3 Li1 Pr2 S6'
_cell_length_a 7.411
_cell_length_b 7.411
_cell_length_c 7.528
_cell_angle_alpha 99.39
_cell_angle_beta 99.39
_cell_angle_gamma 120.02
_space_group_name_H-M_alt 'P 1'
_space_group_IT_number 1
loop_
_space_group_symop_operation_xyz
'x,y,z'
loop_
_atom_site_label
_atom_site_fract_x
_atom_site_fract_y
_atom_site_fract_z
Ba1 0.164 0.836 0.500
Ba2 0.836 0.164 0.500
Ba3 0.500 0.500 0.500
Li1 0.000 0.000 0.000
Pr1 0.333 0.667 0.000
Pr2 0.667 0.333 0.000
S1 0.926 0.588 0.778
S2 0.737 0.737 0.219
S3 0.074 0.412 0.222
S4 0.588 0.926 0.778
S5 0.263 0.263 0.781
S6 0.412 0.074 0.222
# ΔE_f (raw) = -1.92 eV per atom
# Total magnetization = 0.00 Bohr magnetons per cell
# Final energy = -0.1992 Ha/atom
# Density = 4.383 Mg/m³

Q: The lowest density belongs to which entry?
A: Ba2LiPr